Compound: LaAlMo4
Source: Alexandria via LeMat-Bulk
Functional: PBE
Structure: relaxed

Output
Its energy relative to the elements is 322 meV/atom. As for the total magnetization: 0.00 μB/f.u. As for the total energy: -50.1 eV for the cell shown.

Structure (POSCAR):
```
LaAlMo4
1.0
0.358 1.654 5.177
-2.410 4.632 1.552
-4.390 -0.161 3.220
Mo La Al
4 1 1
Cartesian
-4.610 2.217 5.341
-2.238 3.124 6.319
-2.417 2.298 3.732
-3.621 4.612 4.507
0.000 0.000 0.000
-4.832 4.594 7.462
```

***

Compound: SrAlTc
Source: Alexandria via LeMat-Bulk
Functional: PBE
Structure: relaxed

Output
Its energy relative to the elements is 379 meV/atom. The calculation puts the energy above the most stable polymorph in this dataset at 242 meV per atom. As for the total magnetization: 0.40 μB/f.u. As for the total energy: -14.7 eV for the cell shown.

Structure (POSCAR):
```
SrAlTc
1.0
4.377 0.000 0.000
-2.189 3.791 0.000
0.000 0.000 4.435
Al Sr Tc
1 1 1
Cartesian
0.000 0.000 3.697
2.189 1.264 1.479
0.000 2.527 3.695
```

***

Compound: AgRu2Pb
Source: Alexandria via LeMat-Bulk
Functional: PBE
Structure: relaxed

Output
Its energy relative to the elements is 515 meV/atom. As for the total magnetization: 0.00 μB/f.u. As for the total energy: -23.0 eV for the cell shown.

Structure (POSCAR):
```
AgRu2Pb
1.0
-3.122 -0.877 9.226
-0.205 -0.861 9.739
-1.678 1.695 9.484
Ag Ru Pb
1 2 1
Cartesian
-2.546 -0.022 14.470
-1.286 -0.011 7.311
-4.956 -0.044 28.168
-3.725 -0.033 21.171
```

***

Compound: KYCd2Pd
Source: Alexandria via LeMat-Bulk
Functional: PBE
Structure: relaxed

Output
Its energy relative to the elements is -151 meV/atom. The calculation puts the energy above the most stable polymorph in this dataset at 0 meV per atom. As for the total magnetization: 0.00 μB/f.u. As for the total energy: -15.3 eV for the cell shown.

Structure (POSCAR):
```
KYCd2Pd
1.0
5.419 0.000 0.000
0.000 5.196 0.000
0.000 0.000 5.419
Y Cd Pd K
1 2 1 1
Cartesian
0.000 2.598 0.000
0.000 0.000 2.709
2.709 0.000 0.000
0.000 0.000 0.000
2.709 2.598 2.709
```